Record 1
A PBEsol-optimized structure of ZnRhBr2, computed with SCAN.

- Relative energy among the computed polymorphs: 0.176 eV per atom
- E_form (uncorrected): -0.039 eV/atom
- Symmetry: No. 99

```
ZnRhBr2
1.0
3.359 0.000 0.000
0.000 3.359 0.000
0.000 0.000 7.096
Br Rh Zn
2 1 1
Cartesian
0.000 0.000 6.489
1.680 1.680 2.295
0.000 0.000 3.979
1.680 1.680 4.976
```

***

Record 2
A PBEsol-optimized structure of SbAu5, computed with SCAN.

- E_form (uncorrected): 0.055 eV/atom
- Symmetry: No. 189

```
SbAu5
1.0
4.724 0.000 0.000
0.000 5.147 0.000
0.000 -2.573 4.457
Sb Au
1 5
Cartesian
2.362 0.000 0.000
0.000 -1.692 2.931
2.362 0.000 2.972
0.000 3.384 0.000
0.000 0.881 1.526
2.362 2.573 1.486
```

***

Record 3
A PBEsol-optimized structure of Ca5Ag24, computed with SCAN.

- E_form: -130 meV per atom
- Symmetry: No. 217

```
Ca5Ag24
1.0
-2.344 5.075 -6.910
-0.696 -8.570 -2.248
-5.362 1.703 6.880
Ag Ca
24 5
Cartesian
-5.385 2.258 -0.627
-3.061 2.816 -4.734
-3.498 -1.898 -4.319
-3.041 0.958 -0.431
-2.022 -3.778 -6.119
-2.036 -5.675 -1.833
-2.726 -1.645 0.458
-3.141 3.576 -1.875
-1.622 0.232 -4.846
-4.939 0.718 3.847
-1.177 -3.452 -3.588
-2.330 -1.227 -6.990
-4.162 0.927 -3.171
-4.772 -3.955 4.169
-3.420 -1.776 3.365
-4.719 -3.262 1.259
-5.144 -0.171 1.319
-3.900 -5.876 2.462
-2.160 -4.549 0.901
-3.625 -3.515 -1.653
-5.798 4.536 1.268
-2.151 -1.002 -2.173
-5.233 5.166 -1.310
-3.956 2.666 1.848
-0.262 -3.230 -0.847
0.000 0.000 0.000
-0.883 1.912 -2.604
-5.236 -1.117 -1.419
-2.021 0.642 2.593
```

***

Number 1: theoretical density 6.80 g cm⁻³. Number 2: theoretical density 16.96 g cm⁻³. Number 3: theoretical density 8.57 g cm⁻³.